Below is a relaxed Na2B2Se7 crystal, with properties calculated at the GGA-PBEsol level.

The structure belongs to space group C2/c (No. 15); the cell edges are 14.7540, 6.6800 and 11.6607 Å and the angles 90.00°, 118.54° and 90.00°. The distinct sites, in fractional coordinates, are Na at (0.1072, 0.2159, 0.0324), B at (0.1183, 0.2797, 0.3478), Se at (0.0000, 0.4806, 0.2500), Se at (0.0875, 0.0024, 0.7719), Se at (0.1207, 0.3189, 0.5216) and Se at (0.2389, 0.3884, 0.3272).

The value obtained for the formation energy without anion corrections is -413 meV/atom. The value obtained for the total energy is -4.39 eV per atom. The theoretical density comes out at 4.08 g cm⁻³.